1.
This record from Alexandria via LeMat-Bulk describes a relaxed Mg3Ni2 crystal. The functional is PBE.

Lattice parameters (Å, degrees): 2.9307 2.9307 32.5242 90.00 90.00 120.00
Space group R-3m (No. 166, hexagonal axes)
One atom of each set of equivalent atoms:
1 Mg 0.0000 0.0000 0.0000 [3 per cell]
2 Mg 0.0000 0.0000 0.2093 [6 per cell]
3 Ni 0.0000 0.0000 0.3962 [6 per cell]

Output
Raw total energy, eV for the cell shown: -48.256
E_form, eV per atom: 0.052
Density of states at the Fermi level, states/eV/f.u.: 3.780
Calculated volume, Å³ per atom: 16.13
Crystal system: trigonal



2.
This record from Alexandria via LeMat-Bulk describes a relaxed Mg3Ni5 crystal. The functional is PBE.

Lattice parameters (Å, degrees): 4.844 13.278 13.397 90.00 90.00 90.00
Space group Fmmm (No. 69)
One atom of each set of equivalent atoms:
1 Mg 0.000 0.000 0.181 [8 per cell]
2 Mg 0.000 0.180 0.500 [8 per cell]
3 Mg 0.250 0.250 0.250 [8 per cell]
4 Ni 0.000 0.093 0.343 [16 per cell]
5 Ni 0.000 0.157 0.093 [16 per cell]
6 Ni 0.249 0.000 0.000 [8 per cell]

Output
Raw total energy, eV for the cell shown: -266.325
E_form, eV per atom: 0.050
Density of states at the Fermi level, states/eV/f.u.: 6.804
Calculated volume, Å³ per atom: 13.46
Crystal system: orthorhombic



3.
This record from Alexandria via LeMat-Bulk describes a relaxed Mg4Ni crystal. The functional is PBE.

Lattice parameters (Å, degrees): 4.844 4.844 4.844 90.00 90.00 90.00
Space group Pm-3m (No. 221)
One atom of each set of equivalent atoms:
1 Mg 0.000 0.000 0.000 [1 per cell]
2 Mg 0.000 0.500 0.500 [3 per cell]
3 Ni 0.500 0.500 0.500 [1 per cell]

Output
Raw total energy, eV for the cell shown: -11.642
E_form, eV per atom: 0.103
Density of states at the Fermi level, states/eV/f.u.: 2.289
Calculated volume, Å³ per atom: 22.74
Crystal system: cubic



4.
This record from Alexandria via LeMat-Bulk describes a relaxed Mg2Ni3 crystal. The functional is PBE.

Lattice parameters (Å, degrees): 8.892 22.718 2.730 90.00 90.00 90.00
Space group Fdd2 (No. 43)
One atom of each set of equivalent atoms:
1 Mg 0.033 0.192 0.000 [16 per cell]
2 Ni 0.000 0.000 0.181 [8 per cell]
3 Ni 0.049 0.091 0.649 [16 per cell]

Output
Raw total energy, eV for the cell shown: -163.070
E_form, eV per atom: 0.030
Density of states at the Fermi level, states/eV/f.u.: 5.077
Calculated volume, Å³ per atom: 13.79
Crystal system: orthorhombic



5.
This record from Alexandria via LeMat-Bulk describes a relaxed MgNi3 crystal. The functional is PBE.

Lattice parameters (Å, degrees): 2.572 4.109 4.717 90.00 99.58 90.00
Space group P2/m (No. 10)
One atom of each set of equivalent atoms:
1 Mg 0.000 0.000 0.000 [1 per cell]
2 Ni 0.298 0.500 0.731 [2 per cell]
3 Ni 0.500 0.000 0.500 [1 per cell]

Output
Raw total energy, eV for the cell shown: -18.891
E_form, eV per atom: 0.012
Density of states at the Fermi level, states/eV/f.u.: 5.389
Calculated volume, Å³ per atom: 12.29
Crystal system: monoclinic



6.
This record from Alexandria via LeMat-Bulk describes a relaxed MgNi3 crystal. The functional is PBE.

Lattice parameters (Å, degrees): 8.1234 8.1234 2.5471 90.00 90.00 120.00
Space group R-3m (No. 166, hexagonal axes)
One atom of each set of equivalent atoms:
1 Mg 0.0000 0.0000 0.0000 [3 per cell]
2 Ni 0.0000 0.5000 0.0000 [9 per cell]

Output
Raw total energy, eV for the cell shown: -56.563
E_form, eV per atom: 0.021
Density of states at the Fermi level, states/eV/f.u.: 5.416
Calculated volume, Å³ per atom: 12.13
Crystal system: trigonal



7.
This record from Alexandria via LeMat-Bulk describes a relaxed Mg2Ni crystal. The functional is PBE.

Lattice parameters (Å, degrees): 2.970 2.970 24.391 90.00 90.00 90.00
Space group I4_1/amd (No. 141, origin choice 2)
One atom of each set of equivalent atoms:
1 Mg 0.000 0.250 0.310 [8 per cell]
2 Ni 0.000 0.250 0.875 [4 per cell]

Output
Raw total energy, eV for the cell shown: -36.480
E_form, eV per atom: -0.050
Density of states at the Fermi level, states/eV/f.u.: 1.550
Calculated volume, Å³ per atom: 17.93
Crystal system: tetragonal



8.
This record from Alexandria via LeMat-Bulk describes a relaxed MgNi3 crystal. The functional is PBE.

Lattice parameters (Å, degrees): 3.647 3.647 3.647 90.00 90.00 90.00
Space group Pm-3m (No. 221)
One atom of each set of equivalent atoms:
1 Mg 0.000 0.000 0.000 [1 per cell]
2 Ni 0.000 0.500 0.500 [3 per cell]

Output
Raw total energy, eV for the cell shown: -19.229
E_form, eV per atom: -0.072
Density of states at the Fermi level, states/eV/f.u.: 3.961
Calculated volume, Å³ per atom: 12.13
Crystal system: cubic



9.
This record from Alexandria via LeMat-Bulk describes a relaxed Mg5Ni3 crystal. The functional is PBE.

Lattice parameters (Å, degrees): 7.068 8.488 4.224 90.00 90.00 90.00
Space group Cmmm (No. 65)
One atom of each set of equivalent atoms:
1 Mg 0.000 0.000 0.000 [2 per cell]
2 Mg 0.213 0.500 0.500 [4 per cell]
3 Mg 0.250 0.250 0.000 [4 per cell]
4 Ni 0.000 0.232 0.500 [4 per cell]
5 Ni 0.000 0.500 0.000 [2 per cell]

Output
Raw total energy, eV for the cell shown: -51.640
E_form, eV per atom: -0.063
Density of states at the Fermi level, states/eV/f.u.: 3.967
Calculated volume, Å³ per atom: 15.84
Crystal system: orthorhombic



10.
This record from Alexandria via LeMat-Bulk describes a relaxed MgNi3 crystal. The functional is PBE.

Lattice parameters (Å, degrees): 5.2078 5.2078 4.1710 90.00 90.00 120.00
Space group P6_3/mmc (No. 194)
One atom of each set of equivalent atoms:
1 Mg 0.3333 0.6667 0.2500 [2 per cell]
2 Ni 0.1595 0.3191 0.7500 [6 per cell]

Output
Raw total energy, eV for the cell shown: -38.423
E_form, eV per atom: -0.068
Density of states at the Fermi level, states/eV/f.u.: 8.122
Calculated volume, Å³ per atom: 12.25
Crystal system: hexagonal



11.
This record from Alexandria via LeMat-Bulk describes a relaxed Mg5Ni4 crystal. The functional is PBE.

Lattice parameters (Å, degrees): 8.148 8.148 4.115 90.00 90.00 90.00
Space group I4/mmm (No. 139)
One atom of each set of equivalent atoms:
1 Mg 0.000 0.000 0.000 [2 per cell]
2 Mg 0.176 0.176 0.500 [8 per cell]
3 Ni 0.000 0.354 0.000 [8 per cell]

Output
Raw total energy, eV for the cell shown: -62.454
E_form, eV per atom: -0.014
Density of states at the Fermi level, states/eV/f.u.: 4.844
Calculated volume, Å³ per atom: 15.18
Crystal system: tetragonal



12.
This record from Alexandria via LeMat-Bulk describes a relaxed MgNi3 crystal. The functional is PBE.

Lattice parameters (Å, degrees): 2.668 4.173 4.373 90.00 90.00 90.00
Space group Pmm2 (No. 25)
One atom of each set of equivalent atoms:
1 Mg 0.000 0.000 0.000 [1 per cell]
2 Ni 0.000 0.500 0.372 [1 per cell]
3 Ni 0.500 0.000 0.498 [1 per cell]
4 Ni 0.500 0.500 0.845 [1 per cell]

Output
Raw total energy, eV for the cell shown: -19.030
E_form, eV per atom: -0.023
Density of states at the Fermi level, states/eV/f.u.: 5.466
Calculated volume, Å³ per atom: 12.17
Crystal system: orthorhombic



- Which formula does entry 11 have?
  Mg5Ni4



- Among the records above, which one has the highest E_form?
  Mg4Ni